Density functional theory data (PBE) for PrSmHoTh after structural relaxation.

The calculation puts the relative energy among the computed polymorphs at 0 meV per atom. The value obtained for the formation energy is 23 meV/atom.

It has space group P4mm (No. 99), with a = 3.609 Å, b = 3.609 Å, c = 10.228 Å, α = 90.00°, β = 90.00° and γ = 90.00°. The distinct sites, in fractional coordinates, are Pr at (0.000, 0.000, 0.000), Sm at (0.500, 0.500, 0.734), Ho at (0.500, 0.500, 0.257) and Th at (0.000, 0.000, 0.493).